A relaxed Mn2PbCl crystal, computed with GGA-PBE.

Cell lengths 3.327, 3.327, 8.601 Å; angles 90.00, 90.00, 120.07 degrees
Last column: magnetic moment on the atom in μB.
Atoms (fractional coordinates):
1 Pb 0.500 0.500 0.250  -0.08
2 Mn 0.000 0.000 0.978  3.81
3 Mn 0.000 0.000 0.522  3.81
4 Cl 0.500 0.500 0.750  0.05

Output
uncorrected formation energy	101	kJ/mol of formula units
E above lowest polymorph	0.219	eV/atom
crystal system	orthorhombic
raw total energy	-5.712	eV per atom